AcBeClF4 (PBE, optimized geometry); magnetic moment = 0.0 μB per cell; VASP energy = -5.911 eV/atom; formation energy without anion corrections = -3.4586 eV/atom
1.0
5.1402 -3.7189 0.0000
5.1402 3.7189 0.0000
-1.6475 0.0000 6.6808
Ac Be Cl F
2 2 2 8
Cartesian
2.1380 0.0000 1.0277
6.4950 0.0000 5.6531
2.5595 0.0000 4.9640
6.0735 0.0000 1.7168
-0.9347 0.0000 5.1004
9.5677 0.0000 1.5804
1.8767 1.2467 5.7397
2.1715 0.0000 3.4733
4.5508 0.0000 1.5320
1.8767 -1.2467 5.7397
6.7563 1.2467 0.9411
4.0822 0.0000 5.1488
6.4615 0.0000 3.2076
6.7563 -1.2467 0.9411